Entry 1:
The following is a GGA-PBEsol calculation of a relaxed ZrHgOs crystal, from the Alexandria database.

Properties
DFT total energy	-19.6	eV/cell
DFT formation energy	0.773	eV per atom
calculated density	12.80	g/cm3
SG	F-43m, No. 216
total magnetization	0.00	Bohr magnetons per cell

a b c (Å): 4.4551 4.4551 4.4551
angles (deg): 60.00 60.00 60.00
Closest atoms and distances in Å follow each position.
Sites, in units of the cell vectors:
1 Zr 0.5000 0.5000 0.5000  4 Hg 2.73
2 Os 0.0000 0.0000 0.0000  4 Hg 2.73
3 Hg 0.2500 0.2500 0.2500  4 Zr 2.73, 4 Os 2.73

***

Entry 2:
The following is a GGA-PBEsol calculation of a relaxed NaCdRe3 crystal, from the Alexandria database.

Properties
DFT total energy	-26.3	eV/cell
DFT formation energy	3.258	eV per atom
calculated density	10.20	g/cm3
SG	Pm-3m, No. 221
total magnetization	0.00	Bohr magnetons per cell

a b c (Å): 4.8337 4.8337 4.8337
angles (deg): 90.00 90.00 90.00
Closest atoms and distances in Å follow each position.
Sites, in units of the cell vectors:
1 Cd 0.0000 0.0000 0.0000  6 Re 2.42
2 Re 0.0000 0.0000 0.5000  2 Cd 2.42
3 Re 0.5000 0.0000 0.0000  2 Cd 2.42
4 Re 0.0000 0.5000 0.0000  2 Cd 2.42
5 Na 0.5000 0.5000 0.5000  12 Re 3.42

***

Entry 3:
The following is a GGA-PBEsol calculation of a relaxed Re3HgF crystal, from the Alexandria database.

Properties
raw formation energy	7.847	eV per formula unit
DFT total energy	-34.6	eV/cell
calculated density	17.13	g/cm3
SG	Pm-3m, No. 221
total magnetization	0.62	Bohr magnetons per cell

a b c (Å): 4.2254 4.2254 4.2254
angles (deg): 90.00 90.00 90.00
Closest atoms and distances in Å follow each position.
Sites, in units of the cell vectors:
1 Re 0.0000 0.0000 0.5000  2 F 2.11
2 Re 0.0000 0.5000 0.0000  2 F 2.11
3 Re 0.5000 0.0000 0.0000  2 F 2.11
4 Hg 0.5000 0.5000 0.5000  12 Re 2.99
5 F 0.0000 0.0000 0.0000  6 Re 2.11

***

Entry 4:
The following is a GGA-PBEsol calculation of a relaxed DyPd2Pb crystal, from the Alexandria database.

Properties
DFT total energy	-23.7	eV/cell
DFT formation energy	-0.709	eV per atom
calculated density	12.53	g/cm3
SG	Fm-3m, No. 225
total magnetization	0.00	Bohr magnetons per cell

a b c (Å): 4.7791 4.7791 4.7791
angles (deg): 60.00 60.00 60.00
Closest atoms and distances in Å follow each position.
Sites, in units of the cell vectors:
1 Pb 0.0000 0.0000 0.0000  8 Pd 2.93
2 Pd 0.7500 0.7500 0.7500  4 Pb 2.93, 4 Dy 2.93
3 Pd 0.2500 0.2500 0.2500  4 Pb 2.93, 4 Dy 2.93
4 Dy 0.5000 0.5000 0.5000  8 Pd 2.93

***

Entry 5:
The following is a GGA-PBEsol calculation of a relaxed LaSc3S crystal, from the Alexandria database.

Properties
raw formation energy	-3.181	eV per formula unit
DFT total energy	-32.7	eV/cell
calculated density	4.22	g/cm3
SG	Pm-3m, No. 221
total magnetization	0.00	Bohr magnetons per cell

a b c (Å): 4.9363 4.9363 4.9363
angles (deg): 90.00 90.00 90.00
Closest atoms and distances in Å follow each position.
Sites, in units of the cell vectors:
1 S 0.0000 0.0000 0.0000  6 Sc 2.47
2 Sc 0.5000 0.0000 0.0000  2 S 2.47
3 Sc 0.0000 0.0000 0.5000  2 S 2.47
4 Sc 0.0000 0.5000 0.0000  2 S 2.47
5 La 0.5000 0.5000 0.5000  12 Sc 3.49

***

Entry 6:
The following is a GGA-PBEsol calculation of a relaxed InOsCl2 crystal, from the Alexandria database.

Properties
raw formation energy	3.881	eV per formula unit
energy above the most stable polymorph in this dataset	0.914	eV per atom
DFT total energy	-15.3	eV/cell
calculated density	8.13	g/cm3
SG	Fm-3m, No. 225
total magnetization	2.92	Bohr magnetons per cell

a b c (Å): 4.7701 4.7701 4.7701
angles (deg): 60.00 60.00 60.00
Closest atoms and distances in Å follow each position.
Sites, in units of the cell vectors:
1 In 0.5000 0.5000 0.5000  8 Cl 2.92
2 Cl 0.7500 0.7500 0.7500  4 In 2.92, 4 Os 2.92
3 Cl 0.2500 0.2500 0.2500  4 Os 2.92, 4 In 2.92
4 Os 0.0000 0.0000 0.0000  8 Cl 2.92

***

Entry 7:
The following is a GGA-PBEsol calculation of a relaxed TaSnPCl2 crystal, from the Alexandria database.

Properties
raw formation energy	5.026	eV per formula unit
DFT total energy	-21.6	eV/cell
calculated density	5.32	g/cm3
SG	P4/mmm, No. 123
total magnetization	2.96	Bohr magnetons per cell

a b c (Å): 4.9163 4.9163 5.1877
angles (deg): 90.00 90.00 90.00
Closest atoms and distances in Å follow each position.
Sites, in units of the cell vectors:
1 Ta 0.5000 0.5000 0.5000  4 P 3.48, 8 Cl 3.57
2 P 0.0000 0.0000 0.5000  2 Sn 2.59
3 Sn 0.0000 0.0000 0.0000  4 Cl 2.46, 2 P 2.59
4 Cl 0.5000 0.0000 0.0000  2 Sn 2.46
5 Cl 0.0000 0.5000 0.0000  2 Sn 2.46

***

Entry 8:
The following is a GGA-PBEsol calculation of a relaxed Mg2IrOs crystal, from the Alexandria database.

Properties
DFT total energy	-25.2	eV/cell
DFT formation energy	0.069	eV per atom
calculated density	11.90	g/cm3
SG	Pmm2, No. 25
total magnetization	0.00	Bohr magnetons per cell

a b c (Å): 2.8431 4.5600 4.6379
angles (deg): 90.00 90.00 90.00
Closest atoms and distances in Å follow each position.
Sites, in units of the cell vectors:
1 Ir 0.5000 0.5000 0.3080  6 Mg 2.70-2.83, 4 Os 2.76, 2 Ir 2.84
2 Mg 0.0000 0.5000 0.8028  4 Ir 2.70-2.74, 6 Mg 2.77-2.84, 2 Os 2.83
3 Mg 0.5000 0.0000 0.9471  4 Os 2.70-2.74, 6 Mg 2.77-2.84, 2 Ir 2.83
4 Os 0.0000 0.0000 0.4420  6 Mg 2.70-2.83, 4 Ir 2.76, 2 Os 2.84

***

Entry 9:
The following is a GGA-PBEsol calculation of a relaxed Sr2NdCu3Pb2O8 crystal, from the Alexandria database.

Properties
raw formation energy	-27.484	eV per formula unit
DFT total energy	-99.3	eV/cell
calculated density	7.64	g/cm3
SG	P4/mmm, No. 123
total magnetization	0.00	Bohr magnetons per cell

a b c (Å): 3.8054 3.8054 15.7991
angles (deg): 90.00 90.00 90.00
Closest atoms and distances in Å follow each position.
Sites, in units of the cell vectors:
1 Cu 0.5000 0.5000 0.8900  4 O 1.91
2 Cu 0.0000 0.0000 0.5000  2 O 1.83
3 Cu 0.5000 0.5000 0.1100  4 O 1.91
4 O 0.0000 0.5000 0.0981  2 Cu 1.91
5 O 0.5000 0.5000 0.2523  1 Pb 2.16, 1 Cu 2.25
6 O 0.0000 0.0000 0.6160  1 Cu 1.83
7 O 0.5000 0.0000 0.0981  2 Cu 1.91
8 O 0.0000 0.5000 0.9019  2 Cu 1.91
9 O 0.0000 0.0000 0.3840  1 Cu 1.83
10 O 0.5000 0.5000 0.7477  1 Pb 2.16, 1 Cu 2.25
11 O 0.5000 0.0000 0.9019  2 Cu 1.91
12 Sr 0.0000 0.0000 0.7771  9 O 2.55-2.74
13 Sr 0.0000 0.0000 0.2229  9 O 2.55-2.74
14 Pb 0.5000 0.5000 0.3890  1 O 2.16
15 Pb 0.5000 0.5000 0.6110  1 O 2.16
16 Nd 0.0000 0.0000 0.0000  8 O 2.45

***

Entry 10:
The following is a GGA-PBEsol calculation of a relaxed CrMoI3 crystal, from the Alexandria database.

Properties
raw formation energy	4.544	eV per formula unit
DFT total energy	-22.8	eV/cell
calculated density	5.50	g/cm3
SG	Pm-3m, No. 221
total magnetization	9.00	Bohr magnetons per cell

a b c (Å): 5.4228 5.4228 5.4228
angles (deg): 90.00 90.00 90.00
Closest atoms and distances in Å follow each position.
Sites, in units of the cell vectors:
1 I 0.0000 0.0000 0.5000  2 Cr 2.71
2 I 0.0000 0.5000 0.0000  2 Cr 2.71
3 I 0.5000 0.0000 0.0000  2 Cr 2.71
4 Cr 0.0000 0.0000 0.0000  6 I 2.71
5 Mo 0.5000 0.5000 0.5000  12 I 3.83

***

Entry 11:
The following is a GGA-PBEsol calculation of a relaxed Ta2TiRhO crystal, from the Alexandria database.

Properties
raw formation energy	-4.689	eV per formula unit
DFT total energy	-51.5	eV/cell
calculated density	12.57	g/cm3
SG	P4/mmm, No. 123
total magnetization	0.00	Bohr magnetons per cell

a b c (Å): 3.9956 4.1803 4.1803
angles (deg): 90.00 90.00 90.00
Closest atoms and distances in Å follow each position.
Sites, in units of the cell vectors:
1 Ta 0.0000 0.0000 0.5000  2 O 2.09
2 Ta 0.0000 0.5000 0.0000  2 O 2.09
3 O 0.0000 0.0000 0.0000  2 Ti 2.00, 4 Ta 2.09
4 Ti 0.5000 0.0000 0.0000  2 O 2.00
5 Rh 0.5000 0.5000 0.5000  8 Ta 2.89, 4 Ti 2.96

***

Entry 12:
The following is a GGA-PBEsol calculation of a relaxed OsRu2 crystal, from the Alexandria database.

Properties
energy above the most stable polymorph in this dataset	0.771	eV per atom
DFT total energy	-30.3	eV/cell
DFT formation energy	0.759	eV per atom
calculated density	13.43	g/cm3
SG	Fm-3m, No. 225
total magnetization	0.00	Bohr magnetons per cell

a b c (Å): 4.0938 4.0938 4.0938
angles (deg): 60.00 60.00 60.00
Closest atoms and distances in Å follow each position.
Sites, in units of the cell vectors:
1 Ru 0.2500 0.2500 0.2500  4 Os 2.51
2 Ru 0.7500 0.7500 0.7500  4 Os 2.51
3 Os 0.0000 0.0000 0.0000  8 Ru 2.51